The following is a DFT calculation (PBE+U) of crystalline Na2CoOsO6 at its relaxed geometry.

Lattice parameters (Å, degrees): 5.4683 5.5071 5.4254 120.50 119.91 90.00
Fractional coordinates of all 10 atoms:
1 O 0.8092 0.7844 0.0893
2 O 0.8092 0.3049 0.0893
3 O 0.6762 0.2611 0.5222
4 O 0.1908 0.6951 0.9107
5 O 0.3238 0.7389 0.4778
6 O 0.1908 0.2156 0.9107
7 Os 0.0000 0.5000 0.0000
8 Na 0.2364 0.2481 0.4963
9 Na 0.7636 0.7519 0.5037
10 Co 0.5000 0.0000 0.0000

* SG: C2/m
* V: 114.80 Å³/f.u.
* ρ: 5.7 g/cm³
* DFT total energy: -6.0888 eV per atom